A plane-wave DFT calculation with PBE was carried out for a geometry-optimized LaMo2Ir structure.

```
data_LaMo2Ir
_cell_length_a 3.2006
_cell_length_b 3.2006
_cell_length_c 7.5306
_cell_angle_alpha 90.00
_cell_angle_beta 90.00
_cell_angle_gamma 90.00
_space_group_name_H-M_alt 'P 4 m m'
_space_group_IT_number 99
loop_
_space_group_symop_operation_xyz
'x,y,z'
'-y,x,z'
'-x,-y,z'
'y,-x,z'
'-x,y,z'
'y,x,z'
'x,-y,z'
'-y,-x,z'
loop_
_atom_site_label
_atom_site_type_symbol
_atom_site_fract_x
_atom_site_fract_y
_atom_site_fract_z
_atom_site_occupancy
La1 La 0.0000 0.0000 0.0000 1
Mo1 Mo 0.0000 0.0000 0.4945 1
Mo2 Mo 0.5000 0.5000 0.3145 1
Ir1 Ir 0.5000 0.5000 0.7079 1
```

The value obtained for the total moment is 0.000 μB/f.u. For the electronic total energy, the calculation gives -8.719 eV/atom.